10
Lattice="7.424 0.000 0.000 0.000 7.424 0.000 0.000 0.000 2.764" Properties=species:S:1:pos:R:3 comment="ZrMn2Ga2 | Alexandria | PBE | optimized geometry" delta_e_f_ev_per_atom=-0.14 spacegroup="P4/mbm (127)" polymorph_energy_mev_per_atom=63 density_g_cm3=7.42 pbc="T T T"
Zr 0.000 0.000 0.000
Zr 3.712 3.712 0.000
Mn 0.887 2.825 0.000
Mn 2.825 6.537 0.000
Mn 4.600 0.887 0.000
Mn 6.537 4.600 0.000
Ga 1.293 5.005 1.382
Ga 2.419 1.293 1.382
Ga 5.005 6.131 1.382
Ga 6.131 2.419 1.382